# 1
Density functional theory data (GGA-PBE) for an optimized crystal structure of Li2ZrAg2.

a = 7.321 Å, b = 7.321 Å, c = 7.321 Å
α = 150.93°, β = 150.93°, γ = 41.58°
Positions (direct):
Li (0.250, 0.750, 0.500)
Li (0.750, 0.250, 0.500)
Zr (0.000, 0.000, 0.000)
Ag (0.396, 0.396, 0.000)
Ag (0.604, 0.604, 0.000)

Output
DFT formation energy: 36 meV per atom
Spin magnetization: 0.5 Bohr magnetons per cell

=====

# 2
Density functional theory data (GGA-PBE) for an optimized crystal structure of LiZr2Ag.

a = 5.744 Å, b = 5.744 Å, c = 2.920 Å
α = 98.17°, β = 98.17°, γ = 120.42°
Positions (direct):
Li (0.000, 0.000, 0.000)
Zr (0.000, 0.500, 0.500)
Zr (0.500, 0.000, 0.500)
Ag (0.500, 0.500, 0.000)

Output
DFT formation energy: 125 meV per atom
Excess energy over the best structure of this formula in the dataset: 167 meV per atom
Spin magnetization: 0.0 Bohr magnetons per cell

=====

# 3
Density functional theory data (GGA-PBE) for an optimized crystal structure of LiZr2Ag.

a = 3.070 Å, b = 4.438 Å, c = 5.799 Å
α = 90.00°, β = 90.00°, γ = 90.00°
Positions (direct):
Li (0.000, 0.000, 0.000)
Zr (0.500, 0.500, 0.253)
Zr (0.500, 0.500, 0.747)
Ag (0.000, 0.000, 0.500)

Output
DFT formation energy: 141 meV per atom
Excess energy over the best structure of this formula in the dataset: 184 meV per atom
Spin magnetization: 0.0 Bohr magnetons per cell

=====

# 4
Density functional theory data (GGA-PBE) for an optimized crystal structure of Li2ZrAg.

a = 2.913 Å, b = 2.913 Å, c = 9.690 Å
α = 90.00°, β = 90.00°, γ = 114.06°
Positions (direct):
Li (0.000, 0.000, 0.226)
Li (0.000, 0.000, 0.774)
Zr (0.500, 0.500, 0.500)
Ag (0.500, 0.500, 0.000)

Output
DFT formation energy: 33 meV per atom
Excess energy over the best structure of this formula in the dataset: 0 meV per atom
Spin magnetization: 0.0 Bohr magnetons per cell

=====

# 5
Density functional theory data (GGA-PBE) for an optimized crystal structure of LiZr2Ag.

a = 6.131 Å, b = 6.131 Å, c = 6.131 Å
α = 101.43°, β = 101.43°, γ = 127.14°
Positions (direct):
Li (0.000, 0.000, 0.000)
Li (0.750, 0.250, 0.500)
Zr (0.124, 0.625, 0.999)
Zr (0.375, 0.374, 0.499)
Zr (0.626, 0.125, 0.001)
Zr (0.875, 0.876, 0.501)
Ag (0.250, 0.750, 0.500)
Ag (0.500, 0.500, 0.000)

Output
DFT formation energy: 368 meV per atom
Excess energy over the best structure of this formula in the dataset: 410 meV per atom
Spin magnetization: 0.0 Bohr magnetons per cell

=====

# 6
Density functional theory data (GGA-PBE) for an optimized crystal structure of Li2ZrAg3.

a = 3.077 Å, b = 3.077 Å, c = 10.894 Å
α = 90.00°, β = 90.00°, γ = 90.00°
Positions (direct):
Li (0.000, 0.000, 0.151)
Li (0.000, 0.000, 0.849)
Zr (0.000, 0.000, 0.500)
Ag (0.500, 0.500, 0.000)
Ag (0.500, 0.500, 0.304)
Ag (0.500, 0.500, 0.696)

Output
DFT formation energy: -133 meV per atom
Spin magnetization: 0.0 Bohr magnetons per cell

=====

# 7
Density functional theory data (GGA-PBE) for an optimized crystal structure of LiZr2Ag.

a = 2.894 Å, b = 2.894 Å, c = 10.265 Å
α = 90.00°, β = 90.00°, γ = 105.61°
Positions (direct):
Li (0.000, 0.000, 0.000)
Zr (0.500, 0.500, 0.263)
Zr (0.500, 0.500, 0.737)
Ag (0.000, 0.000, 0.500)

Output
DFT formation energy: 166 meV per atom
Excess energy over the best structure of this formula in the dataset: 208 meV per atom
Spin magnetization: 0.0 Bohr magnetons per cell

=====

# 8
Density functional theory data (GGA-PBE) for an optimized crystal structure of Li2ZrAg2.

a = 7.896 Å, b = 7.896 Å, c = 2.841 Å
α = 90.00°, β = 90.00°, γ = 90.00°
Positions (direct):
Li (0.156, 0.344, 0.000)
Li (0.344, 0.844, 0.000)
Li (0.656, 0.156, 0.000)
Li (0.844, 0.656, 0.000)
Zr (0.000, 0.000, 0.500)
Zr (0.500, 0.500, 0.500)
Ag (0.140, 0.640, 0.500)
Ag (0.360, 0.140, 0.500)
Ag (0.640, 0.860, 0.500)
Ag (0.860, 0.360, 0.500)

Output
DFT formation energy: 37 meV per atom
Spin magnetization: 0.0 Bohr magnetons per cell

=====

# 9
Density functional theory data (GGA-PBE) for an optimized crystal structure of LiZr2Ag.

a = 2.943 Å, b = 4.824 Å, c = 5.729 Å
α = 90.00°, β = 104.24°, γ = 90.00°
Positions (direct):
Li (0.000, 0.000, 0.000)
Zr (0.443, 0.500, 0.244)
Zr (0.557, 0.500, 0.756)
Ag (0.000, 0.000, 0.500)

Output
DFT formation energy: 118 meV per atom
Excess energy over the best structure of this formula in the dataset: 160 meV per atom
Spin magnetization: 0.0 Bohr magnetons per cell

=====

# 10
Density functional theory data (GGA-PBE) for an optimized crystal structure of LiZr2Ag2.

a = 8.427 Å, b = 8.427 Å, c = 2.974 Å
α = 90.00°, β = 90.00°, γ = 90.00°
Positions (direct):
Li (0.000, 0.000, 0.000)
Li (0.500, 0.500, 0.000)
Zr (0.170, 0.330, 0.500)
Zr (0.330, 0.830, 0.500)
Zr (0.670, 0.170, 0.500)
Zr (0.830, 0.670, 0.500)
Ag (0.125, 0.625, 0.000)
Ag (0.375, 0.125, 0.000)
Ag (0.625, 0.875, 0.000)
Ag (0.875, 0.375, 0.000)

Output
DFT formation energy: 115 meV per atom
Excess energy over the best structure of this formula in the dataset: 0 meV per atom
Spin magnetization: 0.0 Bohr magnetons per cell

=====

# 11
Density functional theory data (GGA-PBE) for an optimized crystal structure of LiZr3Ag.

a = 5.216 Å, b = 5.216 Å, c = 5.216 Å
α = 90.00°, β = 90.00°, γ = 90.00°
Positions (direct):
Li (0.000, 0.000, 0.000)
Zr (0.000, 0.500, 0.500)
Zr (0.500, 0.000, 0.500)
Zr (0.500, 0.500, 0.000)
Ag (0.500, 0.500, 0.500)

Output
DFT formation energy: 1017 meV per atom
Excess energy over the best structure of this formula in the dataset: 265 meV per atom
Spin magnetization: 1.5 Bohr magnetons per cell

=====

# 12
Density functional theory data (GGA-PBE) for an optimized crystal structure of LiZr2Ag.

a = 3.429 Å, b = 3.429 Å, c = 6.639 Å
α = 90.00°, β = 90.00°, γ = 90.00°
Positions (direct):
Li (0.000, 0.000, 0.000)
Zr (0.500, 0.500, 0.235)
Zr (0.500, 0.500, 0.765)
Ag (0.000, 0.000, 0.500)

Output
DFT formation energy: 160 meV per atom
Excess energy over the best structure of this formula in the dataset: 203 meV per atom
Spin magnetization: 0.0 Bohr magnetons per cell

=====

# 13
Density functional theory data (GGA-PBE) for an optimized crystal structure of Li2ZrAg.

a = 2.902 Å, b = 2.902 Å, c = 9.457 Å
α = 90.00°, β = 90.00°, γ = 104.48°
Positions (direct):
Li (0.000, 0.000, 0.000)
Li (0.500, 0.500, 0.255)
Zr (0.500, 0.500, 0.725)
Ag (0.000, 0.000, 0.469)

Output
DFT formation energy: 35 meV per atom
Excess energy over the best structure of this formula in the dataset: 1 meV per atom
Spin magnetization: 0.0 Bohr magnetons per cell

=====

# 14
Density functional theory data (GGA-PBE) for an optimized crystal structure of Lu5Ag.

a = 7.688 Å, b = 7.688 Å, c = 4.792 Å
α = 90.00°, β = 90.00°, γ = 145.28°
Positions (direct):
Lu (0.000, 0.000, 0.000)
Lu (0.162, 0.838, 0.500)
Lu (0.330, 0.670, 0.000)
Lu (0.670, 0.330, 0.000)
Lu (0.838, 0.162, 0.500)
Ag (0.500, 0.500, 0.500)

Output
DFT formation energy: 17 meV per atom
Spin magnetization: 0.0 Bohr magnetons per cell

=====

# 15
Density functional theory data (GGA-PBE) for an optimized crystal structure of LuMg2Ag.

a = 3.379 Å, b = 3.379 Å, c = 7.857 Å
α = 90.00°, β = 90.00°, γ = 90.00°
Positions (direct):
Lu (0.000, 0.000, 0.000)
Mg (0.500, 0.500, 0.293)
Mg (0.500, 0.500, 0.707)
Ag (0.000, 0.000, 0.500)

Output
DFT formation energy: -125 meV per atom
Spin magnetization: 0.0 Bohr magnetons per cell

=====

# 16
Density functional theory data (GGA-PBE) for an optimized crystal structure of LuMg2Ag.

a = 4.956 Å, b = 4.956 Å, c = 4.956 Å
α = 60.00°, β = 60.00°, γ = 60.00°
Positions (direct):
Lu (0.000, 0.000, 0.000)
Mg (0.250, 0.250, 0.250)
Mg (0.750, 0.750, 0.750)
Ag (0.500, 0.500, 0.500)

Output
DFT formation energy: -38 meV per atom
Spin magnetization: 0.0 Bohr magnetons per cell

=====

# 17
Density functional theory data (GGA-PBE) for an optimized crystal structure of LuMgAg4.

a = 5.564 Å, b = 5.564 Å, c = 5.564 Å
α = 60.00°, β = 60.00°, γ = 60.00°
Positions (direct):
Lu (0.000, 0.000, 0.000)
Mg (0.250, 0.250, 0.250)
Ag (0.126, 0.625, 0.625)
Ag (0.625, 0.126, 0.625)
Ag (0.625, 0.625, 0.126)
Ag (0.625, 0.625, 0.625)

Output
DFT formation energy: -167 meV per atom
Spin magnetization: 0.0 Bohr magnetons per cell

=====

# 18
Density functional theory data (GGA-PBE) for an optimized crystal structure of LuMg2Ag.

a = 4.295 Å, b = 4.295 Å, c = 4.882 Å
α = 90.00°, β = 90.00°, γ = 90.00°
Positions (direct):
Lu (0.000, 0.000, 0.000)
Mg (0.000, 0.500, 0.500)
Mg (0.500, 0.000, 0.500)
Ag (0.500, 0.500, 0.000)

Output
DFT formation energy: -110 meV per atom
Spin magnetization: 0.0 Bohr magnetons per cell

=====

# 19
Density functional theory data (GGA-PBE) for an optimized crystal structure of NdLuMgAg.

a = 5.281 Å, b = 5.281 Å, c = 5.281 Å
α = 60.00°, β = 60.00°, γ = 60.00°
Positions (direct):
Nd (0.000, 0.000, 0.000)
Lu (0.500, 0.500, 0.500)
Mg (0.250, 0.250, 0.250)
Ag (0.750, 0.750, 0.750)

Output
DFT formation energy: -132 meV per atom
Spin magnetization: 0.0 Bohr magnetons per cell

=====

# 20
Density functional theory data (GGA-PBE) for an optimized crystal structure of LuMgAgPb.

a = 5.086 Å, b = 5.086 Å, c = 5.086 Å
α = 60.00°, β = 60.00°, γ = 60.00°
Positions (direct):
Lu (0.000, 0.000, 0.000)
Mg (0.500, 0.500, 0.500)
Ag (0.750, 0.750, 0.750)
Pb (0.250, 0.250, 0.250)

Output
DFT formation energy: -259 meV per atom
Spin magnetization: 0.0 Bohr magnetons per cell

=====

# 21
Density functional theory data (GGA-PBE) for an optimized crystal structure of PmLuMgAg.

a = 5.261 Å, b = 5.261 Å, c = 5.261 Å
α = 60.00°, β = 60.00°, γ = 60.00°
Positions (direct):
Pm (0.000, 0.000, 0.000)
Lu (0.500, 0.500, 0.500)
Mg (0.250, 0.250, 0.250)
Ag (0.750, 0.750, 0.750)

Output
DFT formation energy: -136 meV per atom
Spin magnetization: 0.0 Bohr magnetons per cell

=====

# 22
Density functional theory data (GGA-PBE) for an optimized crystal structure of LuMgAgRh.

a = 4.738 Å, b = 4.738 Å, c = 4.738 Å
α = 60.00°, β = 60.00°, γ = 60.00°
Positions (direct):
Lu (0.000, 0.000, 0.000)
Mg (0.500, 0.500, 0.500)
Ag (0.750, 0.750, 0.750)
Rh (0.250, 0.250, 0.250)

Output
DFT formation energy: -515 meV per atom
Spin magnetization: 0.0 Bohr magnetons per cell

=====

# 23
Density functional theory data (GGA-PBE) for an optimized crystal structure of LuMgAgRu.

a = 4.714 Å, b = 4.714 Å, c = 4.714 Å
α = 60.00°, β = 60.00°, γ = 60.00°
Positions (direct):
Lu (0.000, 0.000, 0.000)
Mg (0.500, 0.500, 0.500)
Ag (0.250, 0.250, 0.250)
Ru (0.750, 0.750, 0.750)

Output
DFT formation energy: -230 meV per atom
Spin magnetization: 0.0 Bohr magnetons per cell

=====

# 24
Density functional theory data (GGA-PBE) for an optimized crystal structure of SmLuMgAg.

a = 5.248 Å, b = 5.248 Å, c = 5.248 Å
α = 60.00°, β = 60.00°, γ = 60.00°
Positions (direct):
Sm (0.000, 0.000, 0.000)
Lu (0.500, 0.500, 0.500)
Mg (0.250, 0.250, 0.250)
Ag (0.750, 0.750, 0.750)

Output
DFT formation energy: -137 meV per atom
Spin magnetization: 0.0 Bohr magnetons per cell

=====

# 25
Density functional theory data (GGA-PBE) for an optimized crystal structure of LuMgAgSn.

a = 5.026 Å, b = 5.026 Å, c = 5.026 Å
α = 60.00°, β = 60.00°, γ = 60.00°
Positions (direct):
Lu (0.000, 0.000, 0.000)
Mg (0.500, 0.500, 0.500)
Ag (0.750, 0.750, 0.750)
Sn (0.250, 0.250, 0.250)

Output
DFT formation energy: -356 meV per atom
Spin magnetization: 0.0 Bohr magnetons per cell

=====

# 26
Density functional theory data (GGA-PBE) for an optimized crystal structure of SrLuMgAg.

a = 5.407 Å, b = 5.407 Å, c = 5.407 Å
α = 60.00°, β = 60.00°, γ = 60.00°
Positions (direct):
Sr (0.000, 0.000, 0.000)
Lu (0.500, 0.500, 0.500)
Mg (0.250, 0.250, 0.250)
Ag (0.750, 0.750, 0.750)

Output
DFT formation energy: -47 meV per atom
Spin magnetization: 0.0 Bohr magnetons per cell

=====

# 27
Density functional theory data (GGA-PBE) for an optimized crystal structure of TbLuMgAg.

a = 5.206 Å, b = 5.206 Å, c = 5.206 Å
α = 60.00°, β = 60.00°, γ = 60.00°
Positions (direct):
Tb (0.000, 0.000, 0.000)
Lu (0.500, 0.500, 0.500)
Mg (0.250, 0.250, 0.250)
Ag (0.750, 0.750, 0.750)

Output
DFT formation energy: -144 meV per atom
Spin magnetization: 0.0 Bohr magnetons per cell

=====

# 28
Density functional theory data (GGA-PBE) for an optimized crystal structure of TmLuMgAg.

a = 5.165 Å, b = 5.165 Å, c = 5.165 Å
α = 60.00°, β = 60.00°, γ = 60.00°
Positions (direct):
Tm (0.000, 0.000, 0.000)
Lu (0.500, 0.500, 0.500)
Mg (0.250, 0.250, 0.250)
Ag (0.750, 0.750, 0.750)

Output
DFT formation energy: -145 meV per atom
Spin magnetization: 0.0 Bohr magnetons per cell

=====

# 29
Density functional theory data (GGA-PBE) for an optimized crystal structure of YLuMgAg.

a = 5.205 Å, b = 5.205 Å, c = 5.205 Å
α = 60.00°, β = 60.00°, γ = 60.00°
Positions (direct):
Y (0.000, 0.000, 0.000)
Lu (0.500, 0.500, 0.500)
Mg (0.750, 0.750, 0.750)
Ag (0.250, 0.250, 0.250)

Output
DFT formation energy: -154 meV per atom
Spin magnetization: 0.0 Bohr magnetons per cell